Below is an optimized crystal structure of LaHo4Sc5, with properties calculated at the PBE level.

Computed properties:
ΔH_f (0 K) = 0.6 eV/f.u.
Density = 6.04 Mg/m³
Total magnetic moment = 0.000 μB/atom

abc: 3.4797 3.4797 23.2187
angles: 90.00 90.00 90.00
Last column: nearest neighbours and their distance in Å.
Space group P4/mmm (No. 123)
Symmetry-distinct sites (fractional):
La 0.0000 0.0000 0.0000 (multiplicity 1)  8 Sc 3.46, 4 La 3.48
Ho 0.0000 0.0000 0.2037 (multiplicity 2)  8 Sc 3.36-3.37, 4 Ho 3.48
Ho 0.0000 0.0000 0.4011 (multiplicity 2)  8 Sc 3.36-3.37, 4 Ho 3.48
Sc 0.5000 0.5000 0.1048 (multiplicity 2)  4 Ho 3.37, 4 La 3.46, 4 Sc 3.48
Sc 0.5000 0.5000 0.3024 (multiplicity 2)  8 Ho 3.36, 4 Sc 3.48
Sc 0.5000 0.5000 0.5000 (multiplicity 1)  8 Ho 3.37, 4 Sc 3.48

Below is an optimized crystal structure of LaHo3Sc2, with properties calculated at the PBE level.

Computed properties:
ΔH_f (0 K) = 1.8 eV/f.u.
ΔE to the lowest computed polymorph = 3.30 kcal/mol of atoms
Density = 6.31 Mg/m³
Total magnetic moment = 0.000 μB/atom

abc: 14.2313 9.7622 5.4784
angles: 90.00 90.00 90.00
Last column: nearest neighbours and their distance in Å.
Space group Cmcm (No. 63)
Symmetry-distinct sites (fractional):
La 0.0000 0.2378 0.2500 (multiplicity 4)  3 Ho 3.20-3.46, 6 Sc 3.45-3.56
Ho 0.0000 0.4075 0.7500 (multiplicity 4)  3 La 3.20-3.46, 4 Ho 3.28-3.37, 2 Sc 3.45
Ho 0.2358 0.3731 0.7500 (multiplicity 8)  2 Sc 3.08-3.30, 1 Ho 3.37
Sc 0.1076 0.0914 0.7500 (multiplicity 8)  3 Sc 3.06-3.27, 2 Ho 3.08-3.30

Below is an optimized crystal structure of La5HoSc2, with properties calculated at the PBE level.

Computed properties:
ΔH_f (0 K) = 1.0 eV/f.u.
Density = 5.88 Mg/m³
Total magnetic moment = 0.000 μB/atom

abc: 5.4470 11.9043 16.5508
angles: 90.00 90.00 90.00
Last column: nearest neighbours and their distance in Å.
Space group Cmcm (No. 63)
Symmetry-distinct sites (fractional):
La 0.0000 0.0189 0.2500 (multiplicity 4)  1 Ho 3.30, 2 Sc 3.40, 4 La 3.68
La 0.0000 0.1464 0.5368 (multiplicity 8)  3 Sc 3.43-3.46, 6 La 3.69-3.83, 1 Ho 3.77
La 0.0000 0.4550 0.6017 (multiplicity 8)  1 Sc 3.39, 1 Ho 3.39, 7 La 3.53-3.76
Ho 0.0000 0.2582 0.7500 (multiplicity 4)  4 Sc 3.20, 3 La 3.30-3.39
Sc 0.0000 0.2686 0.1507 (multiplicity 8)  2 Ho 3.20, 1 Sc 3.29, 5 La 3.39-3.46

Below is an optimized crystal structure of LaHo2Sc, with properties calculated at the PBE level.

Computed properties:
ΔH_f (0 K) = 0.6 eV/f.u.
ΔE to the lowest computed polymorph = 2.87 kcal/mol of atoms
Density = 6.84 Mg/m³
Total magnetic moment = 0.000 μB/atom

abc: 7.9294 7.9294 7.9294
angles: 90.00 90.00 90.00
Last column: nearest neighbours and their distance in Å.
Space group Fm-3m (No. 225)
Symmetry-distinct sites (fractional):
La 0.0000 0.0000 0.0000 (multiplicity 4)  8 Ho 3.43
Ho 0.2500 0.2500 0.2500 (multiplicity 8)  4 La 3.43, 4 Sc 3.43
Sc 0.0000 0.0000 0.5000 (multiplicity 4)  8 Ho 3.43

Below is an optimized crystal structure of La14HoSc, with properties calculated at the PBE level.

Computed properties:
ΔH_f (0 K) = 0.3 eV/f.u.
Density = 6.34 Mg/m³
Total magnetic moment = 0.000 μB/atom

abc: 10.3811 10.3942 10.4652
angles: 90.00 90.00 90.00
Last column: nearest neighbours and their distance in Å.
Space group Cmmm (No. 65)
Symmetry-distinct sites (fractional):
La 0.0000 0.0000 0.0000 (multiplicity 2)  12 La 3.67-3.69
La 0.0000 0.2463 0.2545 (multiplicity 8)  10 La 3.62-3.75, 1 Sc 3.63, 1 Ho 3.68
La 0.0000 0.5000 0.0000 (multiplicity 2)  12 La 3.67-3.75
La 0.2463 0.0000 0.2544 (multiplicity 8)  10 La 3.62-3.74, 1 Sc 3.63, 1 Ho 3.68
La 0.2500 0.2500 0.0000 (multiplicity 4)  12 La 3.67-3.72
La 0.2500 0.2500 0.5000 (multiplicity 4)  8 La 3.65-3.66, 2 Ho 3.67, 2 Sc 3.67
Ho 0.0000 0.5000 0.5000 (multiplicity 2)  12 La 3.67-3.68
Sc 0.0000 0.0000 0.5000 (multiplicity 2)  12 La 3.63-3.67

Below is an optimized crystal structure of LaHo5Sc2, with properties calculated at the PBE level.

Computed properties:
ΔH_f (0 K) = 1.0 eV/f.u.
Density = 7.23 Mg/m³
Total magnetic moment = 0.000 μB/atom

abc: 8.5325 8.5325 13.2899
angles: 90.00 90.00 90.00
Last column: nearest neighbours and their distance in Å.
Space group I4/mcm (No. 140)
Symmetry-distinct sites (fractional):
La 0.0000 0.0000 0.2500 (multiplicity 4)  10 Ho 3.32-3.47
Ho 0.0000 0.0000 0.0000 (multiplicity 4)  4 Sc 3.30, 2 La 3.32
Ho 0.1526 0.3474 0.1568 (multiplicity 16)  3 Sc 3.24-3.27, 3 Ho 3.41-3.59, 2 La 3.47
Sc 0.1383 0.3617 0.5000 (multiplicity 8)  8 Ho 3.24-3.30, 1 Sc 3.34

Below is an optimized crystal structure of La4Ho3Sc, with properties calculated at the PBE level.

Computed properties:
ΔH_f (0 K) = 0.2 eV/f.u.
ΔE to the lowest computed polymorph = 0.00 kcal/mol of atoms
Density = 6.97 Mg/m³
Total magnetic moment = 0.000 μB/atom

abc: 23.1378 3.6188 6.2546
angles: 90.00 95.09 90.00
Last column: nearest neighbours and their distance in Å.
Space group C2/m (No. 12)
Symmetry-distinct sites (fractional):
La 0.1214 0.0000 0.3773 (multiplicity 4)  2 Sc 3.48, 4 Ho 3.50-3.63, 6 La 3.58-3.64
La 0.1245 0.5000 0.8726 (multiplicity 4)  1 Sc 3.54, 5 Ho 3.55-3.58, 6 La 3.58-3.64
Ho 0.0000 0.0000 0.0000 (multiplicity 2)  6 La 3.50-3.55, 4 Sc 3.61, 2 Ho 3.62
Ho 0.2492 0.5000 0.2502 (multiplicity 4)  6 La 3.56-3.63, 6 Ho 3.61-3.62
Sc 0.0000 0.5000 0.5000 (multiplicity 2)  6 La 3.48-3.54, 4 Ho 3.61, 2 Sc 3.62

Below is an optimized crystal structure of La7Ho2Sc2, with properties calculated at the PBE level.

Computed properties:
ΔH_f (0 K) = 1.5 eV/f.u.
ΔE to the lowest computed polymorph = 0.20 kcal/mol of atoms
Density = 6.22 Mg/m³
Total magnetic moment = 0.000 μB/atom

abc: 8.4987 10.8388 8.3405
angles: 90.00 104.58 90.00
Last column: nearest neighbours and their distance in Å.
Space group C2/m (No. 12)
Symmetry-distinct sites (fractional):
La 0.0000 0.0000 0.0000 (multiplicity 2)  10 La 3.64-3.95, 2 Ho 3.82
La 0.0648 0.5000 0.8094 (multiplicity 4)  3 La 3.24-3.62, 2 Sc 3.40, 1 Ho 3.47
La 0.2039 0.2907 0.1802 (multiplicity 8)  2 La 3.24-3.41, 2 Sc 3.28-3.53
Ho 0.1908 0.0000 0.4665 (multiplicity 4)  1 Ho 3.43, 4 Sc 3.46-3.55, 5 La 3.47-3.82
Sc 0.0000 0.2867 0.5000 (multiplicity 4)  6 La 3.28-3.53, 4 Ho 3.46-3.55

Below is an optimized crystal structure of LaHo12Sc3, with properties calculated at the PBE level.

Computed properties:
ΔH_f (0 K) = 0.7 eV/f.u.
Density = 7.77 Mg/m³
Total magnetic moment = 0.000 μB/atom

abc: 4.9389 4.9389 19.7391
angles: 90.00 90.00 90.00
Last column: nearest neighbours and their distance in Å.
Space group P4/mmm (No. 123)
Symmetry-distinct sites (fractional):
La 0.0000 0.0000 0.0000 (multiplicity 1)  12 Ho 3.49-3.59
Ho 0.0000 0.5000 0.1322 (multiplicity 4)  2 Sc 3.45, 8 Ho 3.47-3.59, 2 La 3.59
Ho 0.0000 0.5000 0.3775 (multiplicity 4)  8 Ho 3.44-3.49, 4 Sc 3.46-3.47
Ho 0.5000 0.5000 0.0000 (multiplicity 1)  4 La 3.49, 8 Ho 3.59
Ho 0.5000 0.5000 0.2559 (multiplicity 2)  8 Ho 3.44-3.47, 4 Sc 3.49
Ho 0.5000 0.5000 0.5000 (multiplicity 1)  8 Ho 3.46, 4 Sc 3.49
Sc 0.0000 0.0000 0.2540 (multiplicity 2)  12 Ho 3.45-3.49
Sc 0.0000 0.0000 0.5000 (multiplicity 1)  12 Ho 3.46-3.49

Below is an optimized crystal structure of LaHo3Sc, with properties calculated at the PBE level.

Computed properties:
ΔH_f (0 K) = 0.2 eV/f.u.
ΔE to the lowest computed polymorph = 0.11 kcal/mol of atoms
Density = 7.27 Mg/m³
Total magnetic moment = 0.000 μB/atom

abc: 6.1759 5.6222 9.4427
angles: 90.00 109.00 90.00
Last column: nearest neighbours and their distance in Å.
Space group P2_1/m (No. 11)
Symmetry-distinct sites (fractional):
La 0.0699 0.2500 0.2978 (multiplicity 2)  10 Ho 3.50-3.69, 2 Sc 3.56-3.61
Ho 0.1415 0.7500 0.0945 (multiplicity 2)  4 Sc 3.44-3.57, 5 Ho 3.47-3.64, 3 La 3.50-3.51
Ho 0.2753 0.2500 0.7111 (multiplicity 2)  3 Sc 3.41-3.46, 6 Ho 3.47-3.65, 3 La 3.51-3.69
Ho 0.3352 0.7500 0.5025 (multiplicity 2)  7 Ho 3.48-3.65, 4 La 3.50-3.59, 1 Sc 3.61
Sc 0.4630 0.2500 0.0935 (multiplicity 2)  8 Ho 3.41-3.61, 2 Sc 3.43, 2 La 3.56-3.61

> The highest ΔH_f (0 K) belongs to which entry?

LaHo3Sc2

> ΔH_f (0 K) of number 4 (LaHo2Sc)?

0.6 eV/f.u.

> Which value of total magnetic moment does entry 8 give?

0.000 μB/atom